Density functional theory data (SCAN) for a PBEsol-optimized structure of Sm4Ga7Ag5.

The structure in CIF format:
```
data_Sm4Ga7Ag5
_chemical_formula_sum 'Sm4 Ga7 Ag5'
_space_group_name_H-M_alt 'P 1 m 1'
_space_group_IT_number 6
_space_group_name_Hall 'P -2y'
_cell_length_a 6.960
_cell_length_b 4.367
_cell_length_c 10.145
_cell_angle_alpha 90.00
_cell_angle_beta 90.26
_cell_angle_gamma 90.00
loop_
_atom_site_label
_atom_site_fract_x
_atom_site_fract_y
_atom_site_fract_z
Sm1 0.000 0.000 0.000
Sm2 0.067 0.500 0.497
Sm3 0.506 0.000 0.159
Sm4 0.573 0.500 0.660
Ga1 0.208 0.500 0.176
Ga2 0.363 0.000 0.482
Ga3 0.490 0.500 0.366
Ga4 0.581 0.000 0.865
Ga5 0.704 0.500 0.981
Ga6 0.868 0.000 0.676
Ga7 0.993 0.500 0.793
Ag1 0.085 0.000 0.290
Ag2 0.247 0.000 0.733
Ag3 0.327 0.500 0.926
Ag4 0.740 0.000 0.429
Ag5 0.825 0.500 0.231
```

Calculated values
The calculation puts the total energy at -458.2 eV per formula unit. The formation energy from the elements is -0.5720 eV per atom.

Density functional theory data (SCAN) for a PBEsol-optimized structure of Ga2AgSn2.

The structure in CIF format:
```
data_Ga2AgSn2
_chemical_formula_sum 'Ga4 Ag2 Sn4'
_space_group_name_H-M_alt 'P 4/m b m'
_space_group_IT_number 127
_space_group_name_Hall '-P 4 2ab'
_cell_length_a 6.866
_cell_length_b 6.866
_cell_length_c 4.487
_cell_angle_alpha 90.00
_cell_angle_beta 90.00
_cell_angle_gamma 90.00
loop_
_atom_site_label
_atom_site_fract_x
_atom_site_fract_y
_atom_site_fract_z
Ga1 0.135 0.365 0.000
Ag1 0.000 0.000 0.000
Sn1 0.177 0.677 0.500
```

Calculated values
The calculation puts the total energy at -135.0 eV per formula unit. The formation energy from the elements is 0.1766 eV per atom.

Density functional theory data (SCAN) for a PBEsol-optimized structure of Ga2AgSn.

The structure in CIF format:
```
data_Ga2AgSn
_chemical_formula_sum 'Ga8 Ag4 Sn4'
_space_group_name_H-M_alt 'I -4 2 d'
_space_group_IT_number 122
_space_group_name_Hall 'I -4 2bw'
_cell_length_a 4.366
_cell_length_b 4.366
_cell_length_c 17.442
_cell_angle_alpha 90.00
_cell_angle_beta 90.00
_cell_angle_gamma 90.00
loop_
_atom_site_label
_atom_site_fract_x
_atom_site_fract_y
_atom_site_fract_z
Ga1 0.189 0.250 0.125
Ag1 0.000 0.000 0.000
Sn1 0.000 0.000 0.500
```

Calculated values
The calculation puts the total energy at -99.5 eV per formula unit. The formation energy from the elements is 0.1185 eV per atom.

Density functional theory data (SCAN) for a PBEsol-optimized structure of SrGa2Ag2.

The structure in CIF format:
```
data_SrGa2Ag2
_chemical_formula_sum 'Sr2 Ga4 Ag4'
_space_group_name_H-M_alt 'I 4/m m m'
_space_group_IT_number 139
_space_group_name_Hall '-I 4 2'
_cell_length_a 4.601
_cell_length_b 4.601
_cell_length_c 9.993
_cell_angle_alpha 90.00
_cell_angle_beta 90.00
_cell_angle_gamma 90.00
loop_
_atom_site_label
_atom_site_fract_x
_atom_site_fract_y
_atom_site_fract_z
Sr1 0.000 0.000 0.000
Ga1 0.000 0.000 0.375
Ag1 0.000 0.500 0.250
```

Calculated values
The calculation puts the total energy at -119.6 eV per formula unit. The formation energy from the elements is -0.3696 eV per atom.

Which value of formation energy from the elements does entry 3 give? 0.1185 eV per atom